[1]
A geometry-optimized NiAg3Te structure, computed with GGA-PBEsol.

**Formation energy without anion corrections**: 1.193 eV per atom
**E above lowest polymorph**: 0.519 eV/atom

```
NiAg3Te
1.0
5.135 0.000 0.000
0.000 5.135 0.000
0.000 0.000 5.135
Ag Te Ni
3 1 1
Direct
0.500 0.000 0.000
0.000 0.000 0.500
0.000 0.500 0.000
0.000 0.000 0.000
0.500 0.500 0.500
```



[2]
A geometry-optimized ZnPPdCl2 structure, computed with GGA-PBEsol.

**Formation energy without anion corrections**: 0.235 eV per atom
**E above lowest polymorph**: 0.000 eV/atom

```
ZnPPdCl2
1.0
4.651 0.000 0.000
0.000 4.770 0.000
0.000 0.000 4.770
Pd Cl P Zn
1 2 1 1
Direct
0.000 0.000 0.000
0.000 0.000 0.500
0.000 0.500 0.000
0.500 0.000 0.000
0.500 0.500 0.500
```



[3]
A geometry-optimized H2PbCl structure, computed with GGA-PBEsol.

```
H2PbCl
1.0
-2.643 2.413 -2.726
-3.639 -1.648 2.069
3.297 4.406 4.417
H Cl Pb
4 2 2
Direct
0.125 0.875 0.750
0.125 0.875 0.250
0.625 0.875 0.750
0.125 0.375 0.250
0.500 0.500 0.000
0.750 0.250 0.500
0.000 0.000 0.000
0.250 0.750 0.500
```



[4]
A geometry-optimized InHg3S structure, computed with GGA-PBEsol.

**Formation energy without anion corrections**: 0.519 eV per atom

```
InHg3S
1.0
5.364 0.000 0.000
0.000 5.364 0.000
0.000 0.000 5.364
S Hg In
1 3 1
Direct
0.500 0.500 0.500
0.000 0.000 0.500
0.000 0.500 0.000
0.500 0.000 0.000
0.000 0.000 0.000
```



[5]
A geometry-optimized LaTi3O structure, computed with GGA-PBEsol.

**Formation energy without anion corrections**: -0.751 eV per atom

```
LaTi3O
1.0
4.296 0.000 0.000
0.000 4.296 0.000
0.000 0.000 4.296
La Ti O
1 3 1
Direct
0.500 0.500 0.500
0.500 0.000 0.000
0.000 0.000 0.500
0.000 0.500 0.000
0.000 0.000 0.000
```



[6]
A geometry-optimized NiS structure, computed with GGA-PBEsol.

**Formation energy without anion corrections**: -0.371 eV per atom

```
NiS
1.0
-0.373 3.191 1.122
-2.736 -1.833 -0.856
-0.341 -1.714 4.759
Ni S
2 2
Direct
0.000 0.000 0.500
0.000 0.000 0.000
0.333 0.667 0.250
0.667 0.333 0.750
```



[7]
A geometry-optimized SmCu2 structure, computed with GGA-PBEsol.

**ΔH_f (0 K)**: -0.21 eV per atom

```
SmCu2
1.0
-2.315 3.594 -0.092
-5.340 -0.888 0.329
-1.197 1.899 4.936
Sm Cu
2 4
Direct
0.458 0.792 0.292
0.542 0.208 0.708
0.835 0.613 0.717
0.165 0.783 0.887
0.165 0.387 0.283
0.835 0.217 0.113
```



[8]
A geometry-optimized ZnTeAs2 structure, computed with GGA-PBEsol.

**Formation energy without anion corrections**: 0.112 eV per atom
**E above lowest polymorph**: 0.000 eV/atom

```
ZnTeAs2
1.0
2.943 0.000 -0.160
0.000 5.233 0.000
-1.261 0.000 5.867
As Te Zn
2 1 1
Direct
0.102 0.000 0.104
0.118 0.500 0.090
0.355 0.000 0.579
0.425 0.500 0.727
```



| no. | calculated total energy (eV for the cell shown) | M_tot (μB/atom) |
| --- | --- | --- |
| 1 | -13.65 | 0.188 |
| 2 | -16.17 | 0.001 |
| 3 | -24.36 | 0.000 |
| 4 | -6.47 | 0.175 |
| 5 | -39.32 | 0.000 |
| 6 | -22.57 | 0.000 |
| 7 | -28.79 | 0.000 |
| 8 | -14.87 | 0.000 |